(1)
First-principles (PBE) data for crystalline Ho2LuBe at its relaxed geometry, as listed in Alexandria.

CIF file:
```
data_Ho2LuBe
_space_group_name_H-M_alt 'P 4/m m m'
_space_group_IT_number 123
_space_group_name_Hall '-P 4 2'
_cell_length_a 3.441
_cell_length_b 3.441
_cell_length_c 8.420
_cell_angle_alpha 90.00
_cell_angle_beta 90.00
_cell_angle_gamma 90.00
loop_
_atom_site_label
_atom_site_type_symbol
_atom_site_fract_x
_atom_site_fract_y
_atom_site_fract_z
Ho1 Ho 0.000 0.000 0.195
Lu1 Lu 0.500 0.500 0.500
Be1 Be 0.500 0.500 0.000
```

Properties
* E above lowest polymorph: 0.0000 eV per atom
* VASP energy: -17.1 eV/f.u.
* E_form: 66.3 meV/atom



(2)
First-principles (PBE) data for crystalline InSnAu at its relaxed geometry, as listed in Alexandria.

CIF file:
```
data_InSnAu
_space_group_name_H-M_alt 'P 1'
_space_group_IT_number 1
_cell_length_a 3.478
_cell_length_b 6.336
_cell_length_c 6.992
_cell_angle_alpha 92.85
_cell_angle_beta 103.39
_cell_angle_gamma 91.85
loop_
_space_group_symop_operation_xyz
'x,y,z'
loop_
_atom_site_label
_atom_site_type_symbol
_atom_site_fract_x
_atom_site_fract_y
_atom_site_fract_z
In1 In 0.000 0.000 0.000
In2 In 0.111 0.364 0.308
Sn1 Sn 0.228 0.871 0.522
Sn2 Sn 0.394 0.537 0.813
Au1 Au 0.576 0.710 0.199
Au2 Au 0.797 0.218 0.646
```

Properties
* VASP energy: -10.3 eV/f.u.
* E_form: -100.6 meV/atom



(3)
First-principles (PBE) data for crystalline ErTm2CdAu4 at its relaxed geometry, as listed in Alexandria.

CIF file:
```
data_ErTm2CdAu4
_space_group_name_H-M_alt 'R -3 m'
_space_group_IT_number 166
_space_group_name_Hall '-R 3 2"'
_cell_length_a 4.9640
_cell_length_b 4.9640
_cell_length_c 24.5376
_cell_angle_alpha 90.00
_cell_angle_beta 90.00
_cell_angle_gamma 120.00
loop_
_atom_site_label
_atom_site_type_symbol
_atom_site_fract_x
_atom_site_fract_y
_atom_site_fract_z
Er1 Er 0.0000 0.0000 0.0000
Tm1 Tm 0.0000 0.0000 0.2436
Cd1 Cd 0.0000 0.0000 0.5000
Au1 Au 0.0000 0.0000 0.1205
Au2 Au 0.0000 0.0000 0.3672
```

Properties
* VASP energy: -33.9 eV/f.u.
* E_form: -790.7 meV/atom



(4)
First-principles (PBE) data for crystalline Pm8DyTm2 at its relaxed geometry, as listed in Alexandria.

CIF file:
```
data_Pm8DyTm2
_space_group_name_H-M_alt 'I m m m'
_space_group_IT_number 71
_space_group_name_Hall '-I 2 2'
_cell_length_a 5.649
_cell_length_b 8.241
_cell_length_c 15.987
_cell_angle_alpha 90.00
_cell_angle_beta 90.00
_cell_angle_gamma 90.00
loop_
_atom_site_label
_atom_site_type_symbol
_atom_site_fract_x
_atom_site_fract_y
_atom_site_fract_z
Pm1 Pm 0.000 0.000 0.164
Pm2 Pm 0.000 0.205 0.363
Pm3 Pm 0.000 0.294 0.000
Dy1 Dy 0.000 0.500 0.500
Tm1 Tm 0.000 0.500 0.201
```

Properties
* E above lowest polymorph: 0.0000 eV per atom
* VASP energy: -50.3 eV/f.u.
* E_form: 112.7 meV/atom



For the records above, the corresponding density of states at the Fermi level values read 0.867, 0.430, 0.498, 1.497 states/eV/atom.